No. 1
Density functional theory data (PBE) for Sm2Ga3HgAu4 after structural relaxation.

ΔH_f (0 K) ... -0.54 eV per atom

abc: 4.342 4.342 11.345
angles: 90.00 90.00 90.00
Space group P-4m2 (No. 115)
Asymmetric unit:
Sm  0.000  0.500  0.238 x2
Ga  0.000  0.500  0.873 x2
Ga  0.500  0.500  0.500 x1
Hg  0.000  0.000  0.500 x1
Au  0.000  0.000  0.000 x1
Au  0.000  0.500  0.655 x2
Au  0.500  0.500  0.000 x1

---

No. 2
Density functional theory data (PBE) for Nb2TcAgOs after structural relaxation.

ΔH_f (0 K) ... 2.45 eV per atom

abc: 4.777 4.777 4.658
angles: 90.00 90.00 90.00
Space group P4/mmm (No. 123)
Asymmetric unit:
Nb  0.000  0.500  0.000 x2
Tc  0.000  0.000  0.500 x1
Ag  0.000  0.000  0.000 x1
Os  0.500  0.500  0.500 x1

---

No. 3
Density functional theory data (PBE) for AlTl2Br after structural relaxation.

ΔE_f (raw) ... -13 kJ/mol of formula units

abc: 3.8021 3.8021 28.1774
angles: 90.00 90.00 120.00
Space group R-3m (No. 166, hexagonal axes)
Asymmetric unit:
Al  0.0000  0.0000  0.0000 x3
Tl  0.0000  0.0000  0.2507 x6
Br  0.0000  0.0000  0.5000 x3

---

No. 4
Density functional theory data (PBE) for TeRh2O after structural relaxation.

ΔE_f (raw) ... 14 kJ/mol of formula units

abc: 6.128 6.128 6.128
angles: 90.00 90.00 90.00
Space group Fm-3m (No. 225)
Asymmetric unit:
Te  0.000  0.000  0.000 x4
Rh  0.250  0.250  0.250 x8
O  0.000  0.000  0.500 x4